# 1
DFT (PBE) results for a geometry-optimized BeRe2Rh structure.

formation energy: 21 meV/atom

CIF file:
```
data_BeRe2Rh
_cell_length_a 4.8570
_cell_length_b 4.8570
_cell_length_c 4.8570
_cell_angle_alpha 136.21
_cell_angle_beta 136.21
_cell_angle_gamma 63.66
_space_group_name_H-M_alt 'P 1'
_space_group_IT_number 1
loop_
_space_group_symop_operation_xyz
'x,y,z'
loop_
_atom_site_label
_atom_site_type_symbol
_atom_site_fract_x
_atom_site_fract_y
_atom_site_fract_z
Re1 Re 0.0000 0.0000 0.0000
Re2 Re 0.5000 0.5000 0.0000
Rh1 Rh 0.2500 0.7500 0.5000
Be1 Be 0.7500 0.2500 0.5000
```

***

# 2
DFT (PBE) results for a geometry-optimized Be2ReRh structure.

formation energy: -272 meV/atom
energy above the lowest structure with this stoichiometry: 2 meV/atom

CIF file:
```
data_Be2ReRh
_cell_length_a 2.7546
_cell_length_b 2.7546
_cell_length_c 5.8844
_cell_angle_alpha 90.00
_cell_angle_beta 90.00
_cell_angle_gamma 90.00
_space_group_name_H-M_alt 'P 1'
_space_group_IT_number 1
loop_
_space_group_symop_operation_xyz
'x,y,z'
loop_
_atom_site_label
_atom_site_type_symbol
_atom_site_fract_x
_atom_site_fract_y
_atom_site_fract_z
Re1 Re 0.0000 0.0000 0.4722
Rh1 Rh 0.5000 0.5000 0.7924
Be1 Be 0.0000 0.0000 0.0275
Be2 Be 0.5000 0.5000 0.2080
```

***

# 3
DFT (PBE) results for a geometry-optimized Be2ReRh structure.

formation energy: -137 meV/atom
energy above the lowest structure with this stoichiometry: 137 meV/atom

CIF file:
```
data_Be2ReRh
_cell_length_a 4.8029
_cell_length_b 4.8029
_cell_length_c 4.8029
_cell_angle_alpha 146.49
_cell_angle_beta 131.35
_cell_angle_gamma 60.36
_space_group_name_H-M_alt 'P 1'
_space_group_IT_number 1
loop_
_space_group_symop_operation_xyz
'x,y,z'
loop_
_atom_site_label
_atom_site_type_symbol
_atom_site_fract_x
_atom_site_fract_y
_atom_site_fract_z
Re1 Re 0.5073 0.5073 0.0000
Rh1 Rh 0.2371 0.7371 0.5000
Be1 Be 0.9883 0.9883 0.0000
Be2 Be 0.7673 0.2673 0.5000
```

***

# 4
DFT (PBE) results for a geometry-optimized BeRe2Rh structure.

formation energy: -20 meV/atom

CIF file:
```
data_BeRe2Rh
_cell_length_a 2.7396
_cell_length_b 3.7594
_cell_length_c 5.2888
_cell_angle_alpha 90.00
_cell_angle_beta 90.00
_cell_angle_gamma 90.00
_space_group_name_H-M_alt 'P 1'
_space_group_IT_number 1
loop_
_space_group_symop_operation_xyz
'x,y,z'
loop_
_atom_site_label
_atom_site_type_symbol
_atom_site_fract_x
_atom_site_fract_y
_atom_site_fract_z
Re1 Re 0.0000 0.0000 0.9964
Re2 Re 0.5000 0.5000 0.2346
Rh1 Rh 0.0000 0.0000 0.5319
Be1 Be 0.5000 0.5000 0.7370
```

***

# 5
DFT (PBE) results for a geometry-optimized BeReRh2 structure.

formation energy: -74 meV/atom

CIF file:
```
data_BeReRh2
_cell_length_a 2.7311
_cell_length_b 3.8152
_cell_length_c 5.1478
_cell_angle_alpha 90.00
_cell_angle_beta 90.00
_cell_angle_gamma 90.00
_space_group_name_H-M_alt 'P 1'
_space_group_IT_number 1
loop_
_space_group_symop_operation_xyz
'x,y,z'
loop_
_atom_site_label
_atom_site_type_symbol
_atom_site_fract_x
_atom_site_fract_y
_atom_site_fract_z
Re1 Re 0.5000 0.5000 0.7599
Rh1 Rh 0.0000 0.0000 0.9754
Rh2 Rh 0.5000 0.5000 0.2900
Be1 Be 0.0000 0.0000 0.4747
```

***

# 6
DFT (PBE) results for a geometry-optimized BeRe2Rh structure.

formation energy: -25 meV/atom

CIF file:
```
data_BeRe2Rh
_cell_length_a 2.7470
_cell_length_b 2.7470
_cell_length_c 6.8264
_cell_angle_alpha 90.00
_cell_angle_beta 90.00
_cell_angle_gamma 90.00
_space_group_name_H-M_alt 'P 1'
_space_group_IT_number 1
loop_
_space_group_symop_operation_xyz
'x,y,z'
loop_
_atom_site_label
_atom_site_type_symbol
_atom_site_fract_x
_atom_site_fract_y
_atom_site_fract_z
Re1 Re 0.0000 0.0000 0.9641
Re2 Re 0.0000 0.0000 0.5359
Rh1 Rh 0.5000 0.5000 0.2500
Be1 Be 0.5000 0.5000 0.7500
```

***

no.,size of the total moment (μB/f.u.)
1,0.00
2,0.00
3,0.00
4,0.00
5,0.00
6,0.00